Material: SbW3
Method: DFT, PBE
State: optimized geometry

energy above the most stable polymorph in this dataset = 122 meV/atom
formation energy from raw total energies = 0.601 eV per atom
crystal system = trigonal
total magnetic moment = 0.00 Bohr magnetons per cell

a b c (Å): 3.0774 3.0774 26.2875
angles (deg): 90.00 90.00 120.00
Closest atoms and distances in Å follow each position.
Space group R-3m (No. 166, hexagonal axes)
Asymmetric unit:
Sb 0.0000 0.0000 0.0000 [3 per cell]  6 W 2.95, 6 Sb 3.08
W 0.0000 0.0000 0.2440 [6 per cell]  3 W 2.70, 3 Sb 2.95
W 0.0000 0.0000 0.5000 [3 per cell]  6 W 2.70

Material: Ba2In4SbAu3
Method: DFT, PBE
State: optimized geometry

formation energy from raw total energies = -0.521 eV per atom
crystal system = tetragonal
total magnetic moment = 0.00 Bohr magnetons per cell

a b c (Å): 4.9474 4.9474 11.5486
angles (deg): 90.00 90.00 90.00
Closest atoms and distances in Å follow each position.
Space group P-4m2 (No. 115)
Asymmetric unit:
Ba 0.0000 0.5000 0.2498 [2 per cell]  8 In 3.73-3.80, 6 Au 3.79-3.80, 2 Sb 3.80
In 0.0000 0.0000 0.0000 [1 per cell]  4 Au 2.85
In 0.0000 0.5000 0.6383 [2 per cell]  3 Au 2.75-2.94, 2 Sb 2.94
In 0.5000 0.5000 0.0000 [1 per cell]  4 Au 2.85
Sb 0.0000 0.0000 0.5000 [1 per cell]  4 In 2.94
Au 0.0000 0.5000 0.8766 [2 per cell]  5 In 2.75-2.85
Au 0.5000 0.5000 0.5000 [1 per cell]  4 In 2.94

Material: SrLa2GeOs
Method: DFT, PBE
State: optimized geometry

crystal system = tetragonal
total magnetic moment = 0.00 Bohr magnetons per cell
energy of formation = 1.45 eV/atom

a b c (Å): 5.8132 5.8132 4.7622
angles (deg): 90.00 90.00 90.00
Closest atoms and distances in Å follow each position.
Space group P4/mmm (No. 123)
Asymmetric unit:
Sr 0.0000 0.0000 0.0000 [1 per cell]  2 Os 2.38
La 0.0000 0.5000 0.0000 [2 per cell]  2 Sr 2.91
Ge 0.5000 0.5000 0.5000 [1 per cell]  8 La 3.76, 4 Os 4.11
Os 0.0000 0.0000 0.5000 [1 per cell]  2 Sr 2.38

Material: K2TeSeO6
Method: DFT, PBE
State: optimized geometry

formation energy from raw total energies = -1.000 eV per atom
crystal system = monoclinic
total magnetic moment = 0.00 Bohr magnetons per cell

a b c (Å): 8.0383 8.0366 5.6897
angles (deg): 90.00 134.94 90.00
Closest atoms and distances in Å follow each position.
Space group C2/m (No. 12)
Asymmetric unit:
K 0.0000 0.2499 0.0000 [4 per cell]  12 O 2.84-2.85
Te 0.0000 0.0000 0.5000 [2 per cell]  6 O 1.98-1.99
Se 0.0000 0.5000 0.5000 [2 per cell]  6 O 2.03-2.04
O 0.0000 0.2474 0.5000 [4 per cell]  1 Te 1.99, 1 Se 2.03
O 0.2462 0.0000 0.9923 [4 per cell]  1 Te 1.98, 1 Se 2.04
O 0.2486 0.0000 0.5027 [4 per cell]  1 Te 1.99, 1 Se 2.03

Material: CaScMn2
Method: DFT, PBE
State: optimized geometry

energy above the most stable polymorph in this dataset = 0 meV/atom
crystal system = tetragonal
total magnetic moment = 0.84 Bohr magnetons per cell
energy of formation = 0.24 eV/atom

a b c (Å): 3.1392 3.1392 8.4416
angles (deg): 90.00 90.00 90.00
Closest atoms and distances in Å follow each position.
Space group P4mm (No. 99)
Asymmetric unit:
Ca 0.0000 0.0000 0.0000 [1 per cell]  4 Ca 3.14, 5 Mn 3.24-3.44
Sc 0.5000 0.5000 0.6288 [1 per cell]  5 Mn 2.90-2.95, 4 Sc 3.14
Mn 0.0000 0.0000 0.4078 [1 per cell]  4 Mn 2.47
Mn 0.5000 0.5000 0.2797 [1 per cell]  4 Mn 2.47

Material: BaAcO2
Method: DFT, PBE
State: optimized geometry

energy above the most stable polymorph in this dataset = 113 meV/atom
formation energy from raw total energies = -2.481 eV per atom
crystal system = trigonal
total magnetic moment = 2.13 Bohr magnetons per cell

a b c (Å): 3.8613 3.8613 20.3531
angles (deg): 90.00 90.00 120.00
Closest atoms and distances in Å follow each position.
Space group R3m (No. 160, hexagonal axes)
Asymmetric unit:
Ba 0.0000 0.0000 0.0000 [3 per cell]  6 O 2.94-3.18
Ac 0.0000 0.0000 0.1754 [3 per cell]  6 O 2.58
O 0.0000 0.0000 0.5724 [3 per cell]  3 Ac 2.58
O 0.0000 0.0000 0.7780 [3 per cell]  3 Ac 2.58

total magnetic moment of number 6 (BaAcO2)?
2.13 Bohr magnetons per cell

Which formula does entry 1 have?
SbW3

The highest total magnetic moment belongs to which entry?
BaAcO2